Entry 1:
# RbLiIO2

A relaxed structure of RbLiIO2 (PBE, Alexandria via LeMat-Bulk).

abc: 4.970 4.970 7.524
angles: 90.00 90.00 90.00
Positions (direct):
Rb: 0.000 0.000 0.000
Li: 0.500 0.500 0.500
I: 0.000 0.000 0.500
O: 0.000 0.500 0.000
O: 0.500 0.000 0.000

The space group is P4/mmm. As for the total magnetization: 3.05 μB/f.u. For the total DFT energy (no corrections), the calculation gives -2.781 eV/atom.



Entry 2:
# PrSnHgPt

A relaxed structure of PrSnHgPt (PBE, Alexandria via LeMat-Bulk).

abc: 5.099 5.099 5.099
angles: 60.00 60.00 60.00
Positions (direct):
Pr: 0.000 0.000 0.000
Sn: 0.500 0.500 0.500
Hg: 0.750 0.750 0.750
Pt: 0.250 0.250 0.250

The space group is F-43m. As for the total magnetization: 0.00 μB/f.u. For the total DFT energy (no corrections), the calculation gives -4.382 eV/atom. As for the formation energy: -0.60 eV/atom.